1.
Density functional theory data (PBE) for a geometry-optimized SmHoCu structure.

Output
SG: F-43m (216)
ΔE to the lowest computed polymorph: 4.49 kcal/mol of atoms
ΔE_f: 0.077 eV per atom

```
SmHoCu
1.0
4.882 0.000 0.000
2.441 4.228 0.000
2.441 1.409 3.986
Cu Ho Sm
1 1 1
Direct
0.250 0.250 0.250
0.000 0.000 0.000
0.500 0.500 0.500
```

2.
Density functional theory data (PBE) for a geometry-optimized SmHoCu10 structure.

Output
SG: Pmmm (47)
ΔE_f: -0.185 eV per atom

```
SmHoCu10
1.0
-0.905 0.827 -3.918
-1.542 -4.765 -0.650
-8.040 2.283 2.339
Cu Sm Ho
10 1 1
Direct
0.000 0.500 0.831
0.000 0.000 0.664
0.500 0.000 0.500
0.000 0.000 0.336
0.000 0.500 0.169
0.500 0.749 0.252
0.500 0.251 0.748
0.500 0.749 0.748
0.500 0.251 0.252
0.500 0.500 0.000
0.000 0.000 0.000
0.000 0.500 0.500
```

3.
Density functional theory data (PBE) for a geometry-optimized SmHo3Cu structure.

Output
SG: Pm-3m (221)
ΔE_f: 0.091 eV per atom

```
SmHo3Cu
1.0
-1.180 -0.231 -5.219
1.951 -4.983 -0.220
-4.847 -1.949 1.182
Ho Sm Cu
3 1 1
Direct
0.500 0.000 0.000
0.000 0.000 0.500
0.000 0.500 0.000
0.500 0.500 0.500
0.000 0.000 0.000
```

no.,volume (Å³ per atom)
1,27.42
2,14.99
3,30.73